Density functional theory data (PBE) for a geometry-optimized PdSCl4 structure.

Lattice parameters (Å, degrees): 6.820 7.420 11.810 71.74 84.12 70.67
Atoms (fractional coordinates):
Cl: 0.631 0.902 0.146
Cl: 0.082 0.774 0.497
Cl: 0.369 0.098 0.854
Cl: 0.130 0.548 0.854
Cl: 0.582 0.772 0.503
Cl: 0.918 0.226 0.503
Cl: 0.418 0.228 0.497
Cl: 0.870 0.452 0.146
Pd: 0.750 0.000 0.501
Pd: 0.250 0.000 0.499
S: 0.750 0.621 0.257
S: 0.250 0.379 0.743

space-group type	P-1, No. 2
final energy	-3.044	eV per atom
density of states at the Fermi level	7.86	states/eV per cell
raw formation energy	-0.26	eV/atom